Ce2Al2Au3: optimized geometry, PBE.

## Properties
Electronic total energy ... -4.815 eV per atom
Energy of formation from the pure elements ... -0.646 eV per atom

abc: 4.2741 7.3063 10.1175
angles: 90.00 102.19 90.00
Sites, in units of the cell vectors:
Au  0.4333  0.9478  0.8666
Au  0.5667  0.4478  0.1334
Au  0.7739  0.2500  0.5478
Au  0.2261  0.7500  0.4522
Au  0.5667  0.0522  0.1334
Au  0.4333  0.5522  0.8666
Ce  0.0585  0.7500  0.1169
Ce  0.8487  0.7500  0.6974
Ce  0.9415  0.2500  0.8831
Ce  0.1513  0.2500  0.3026
Al  0.3056  0.4428  0.6112
Al  0.6944  0.9428  0.3888
Al  0.3056  0.0572  0.6112
Al  0.6944  0.5572  0.3888